Below is an optimized crystal structure of AcEr2Ag, with properties calculated at the PBE-GGA level.

Unit cell a=3.6995 b=3.6995 c=8.8239 alpha=90.00 beta=90.00 gamma=90.00
With the nearest neighbours (Å) after each atom.
Sites, in units of the cell vectors:
Ac 0.5000 0.5000 0.5000  4 Ac 3.70, 8 Er 3.75
Ag 0.5000 0.5000 0.0000  8 Er 3.13
Er 0.0000 0.0000 0.8044  4 Ag 3.13, 1 Er 3.45
Er 0.0000 0.0000 0.1956  4 Ag 3.13, 1 Er 3.45

Computed properties:
total energy = -4.123 eV/atom
space-group type = P4/mmm, No. 123
spin magnetization = 0.0 μB/cell
DOS at the Fermi energy = 1.26 states/eV per atom
distance to the lowest polymorph of the same formula = 0 meV/atom

***

Below is an optimized crystal structure of Dy3Ho4ThS8, with properties calculated at the PBE-GGA level.

Unit cell a=7.8272 b=7.8320 c=7.8276 alpha=119.98 beta=120.00 gamma=90.00
With the nearest neighbours (Å) after each atom.
Sites, in units of the cell vectors:
Dy 0.5000 0.5000 0.0000  6 S 2.78
Dy 0.5000 0.5000 0.5000  6 S 2.78
Dy 0.0000 0.5000 0.5000  6 S 2.78
Ho 0.5000 0.0000 0.0000  6 S 2.71
Ho 0.5000 0.0000 0.5000  6 S 2.76
Ho 0.0000 0.0000 0.0000  6 S 2.76
Ho 0.0000 0.0000 0.5000  6 S 2.76
Th 0.0000 0.5000 0.0000  6 S 2.82
S 0.2551 0.7565 0.0014  3 Ho 2.71-2.76, 2 Dy 2.78, 1 Th 2.82
S 0.2550 0.7565 0.5101  3 Ho 2.71-2.76, 2 Dy 2.78, 1 Th 2.82
S 0.2493 0.2478 0.4985  3 Ho 2.76, 3 Dy 2.78
S 0.7464 0.7565 0.0014  3 Ho 2.71-2.76, 2 Dy 2.78, 1 Th 2.82
S 0.2536 0.2435 0.9986  3 Ho 2.71-2.76, 2 Dy 2.78, 1 Th 2.82
S 0.7507 0.7522 0.5015  3 Ho 2.76, 3 Dy 2.78
S 0.7450 0.2435 0.4899  3 Ho 2.71-2.76, 2 Dy 2.78, 1 Th 2.82
S 0.7449 0.2435 0.9986  3 Ho 2.71-2.76, 2 Dy 2.78, 1 Th 2.82

Computed properties:
total energy = -6.485 eV/atom
raw formation energy = -1950.4 meV per atom
space-group type = R-3m, No. 166
spin magnetization = 0.0 μB/cell
DOS at the Fermi energy = 0.61 states/eV per atom

***

Below is an optimized crystal structure of LiUCu2Cl8, with properties calculated at the PBE-GGA level.

Unit cell a=6.4033 b=6.7638 c=8.0410 alpha=71.09 beta=92.27 gamma=103.72
With the nearest neighbours (Å) after each atom.
Sites, in units of the cell vectors:
Li 0.0000 0.0000 0.5000  4 Cl 2.47-2.64
U 0.0000 0.0000 0.0000  6 Cl 2.54-2.60
Cu 0.5457 0.3719 0.6590  4 Cl 2.30-2.36
Cu 0.4543 0.6281 0.3410  4 Cl 2.30-2.36
Cl 0.1463 0.7698 0.2846  1 Cu 2.36, 1 U 2.60
Cl 0.6309 0.7334 0.0714  1 Cu 2.30, 1 U 2.57
Cl 0.8915 0.2065 0.1827  1 U 2.54, 1 Li 2.64
Cl 0.8537 0.2302 0.7154  1 Cu 2.36, 1 U 2.60
Cl 0.3691 0.2666 0.9286  1 Cu 2.30, 1 U 2.57
Cl 0.1085 0.7935 0.8173  1 U 2.54, 1 Li 2.64
Cl 0.6437 0.7458 0.5544  2 Cu 2.31-2.33, 1 Li 2.47
Cl 0.3563 0.2542 0.4456  2 Cu 2.31-2.33, 1 Li 2.47

Computed properties:
total energy = -4.267 eV/atom
raw formation energy = -1252.7 meV per atom
space-group type = P-1, No. 2
spin magnetization = 0.9 μB/cell
DOS at the Fermi energy = 0.34 states/eV per atom

***

Below is an optimized crystal structure of CeNd2Zn9, with properties calculated at the PBE-GGA level.

Unit cell a=5.5107 b=5.5107 c=9.3280 alpha=72.82 beta=72.82 gamma=60.00
With the nearest neighbours (Å) after each atom.
Sites, in units of the cell vectors:
Ce 0.0000 0.0000 0.0000  18 Zn 3.18-3.48
Nd 0.8589 0.8589 0.4232  12 Zn 3.18-3.32, 3 Nd 3.45
Nd 0.1411 0.1411 0.5768  12 Zn 3.18-3.32, 3 Nd 3.45
Zn 0.6652 0.6652 0.0044  6 Zn 2.64-2.68
Zn 0.3348 0.3348 0.9956  6 Zn 2.64-2.68
Zn 0.5000 0.5000 0.5000  6 Zn 2.77
Zn 0.4169 0.4169 0.2431  7 Zn 2.64-2.79
Zn 0.9231 0.4169 0.2431  7 Zn 2.64-2.79
Zn 0.4169 0.9231 0.2431  7 Zn 2.64-2.79
Zn 0.5831 0.5831 0.7569  7 Zn 2.64-2.79
Zn 0.5831 0.0769 0.7569  7 Zn 2.64-2.79
Zn 0.0769 0.5831 0.7569  7 Zn 2.64-2.79

Computed properties:
total energy = -2.523 eV/atom
space-group type = R-3m, No. 166
spin magnetization = 0.7 μB/cell
DOS at the Fermi energy = 0.95 states/eV per atom

***

What is the spin magnetization in the second record?
0.0 μB/cell

***

Among the records above, which one has the lowest DOS at the Fermi energy?
LiUCu2Cl8

***

Repeat the fourth record exactly.
Below is an optimized crystal structure of CeNd2Zn9, with properties calculated at the PBE-GGA level.

Unit cell a=5.5107 b=5.5107 c=9.3280 alpha=72.82 beta=72.82 gamma=60.00
With the nearest neighbours (Å) after each atom.
Sites, in units of the cell vectors:
Ce 0.0000 0.0000 0.0000  18 Zn 3.18-3.48
Nd 0.8589 0.8589 0.4232  12 Zn 3.18-3.32, 3 Nd 3.45
Nd 0.1411 0.1411 0.5768  12 Zn 3.18-3.32, 3 Nd 3.45
Zn 0.6652 0.6652 0.0044  6 Zn 2.64-2.68
Zn 0.3348 0.3348 0.9956  6 Zn 2.64-2.68
Zn 0.5000 0.5000 0.5000  6 Zn 2.77
Zn 0.4169 0.4169 0.2431  7 Zn 2.64-2.79
Zn 0.9231 0.4169 0.2431  7 Zn 2.64-2.79
Zn 0.4169 0.9231 0.2431  7 Zn 2.64-2.79
Zn 0.5831 0.5831 0.7569  7 Zn 2.64-2.79
Zn 0.5831 0.0769 0.7569  7 Zn 2.64-2.79
Zn 0.0769 0.5831 0.7569  7 Zn 2.64-2.79

Computed properties:
total energy = -2.523 eV/atom
space-group type = R-3m, No. 166
spin magnetization = 0.7 μB/cell
DOS at the Fermi energy = 0.95 states/eV per atom

***

What is the total energy in the second record?
-6.485 eV/atom